Entry 1:
{
  "formula": "CsZnAsCl6",
  "functional": "PBE",
  "state": "optimized geometry",
  "magmom_total_mub_per_atom": 0.00,
  "lattice_angstrom": [[6.561, 0.000, 0.000], [-3.281, 5.682, 0.000], [0.000, 0.000, 7.874]],
  "species": ["Cs", "Zn", "As", "Cl", "Cl", "Cl", "Cl", "Cl", "Cl"],
  "frac_coords": [[0.000, 0.000, 0.000], [0.667, 0.333, 0.500], [0.333, 0.667, 0.500], [0.378, 0.004, 0.682], [0.378, 0.374, 0.318], [0.626, 0.004, 0.318], [0.626, 0.622, 0.682], [0.996, 0.374, 0.682], [0.996, 0.622, 0.318]]
}


Entry 2:
{
  "formula": "CuAsCl",
  "functional": "PBE",
  "state": "optimized geometry",
  "magmom_total_mub_per_atom": 0.00,
  "relative_energy_mev_per_atom": 0,
  "lattice_angstrom": [[3.685, 0.000, 0.000], [1.705, 3.276, 0.000], [1.156, 0.680, 11.439]],
  "species": ["Cu", "Cu", "As", "As", "Cl", "Cl"],
  "frac_coords": [[0.145, 0.149, 0.263], [0.855, 0.851, 0.737], [0.157, 0.158, 0.059], [0.843, 0.842, 0.941], [0.474, 0.479, 0.337], [0.526, 0.521, 0.663]]
}


Entry 3:
{
  "formula": "CuAsCl",
  "functional": "PBE",
  "state": "optimized geometry",
  "magmom_total_mub_per_atom": 0.00,
  "relative_energy_mev_per_atom": 300,
  "lattice_angstrom": [[3.280, 0.000, 0.000], [-1.640, 2.841, 0.000], [0.000, 0.000, 6.895]],
  "species": ["Cu", "As", "Cl"],
  "frac_coords": [[0.000, 0.000, 0.000], [0.667, 0.333, 0.244], [0.333, 0.667, 0.791]]
}


Entry 4:
{
  "formula": "CuAsCl",
  "functional": "PBE",
  "state": "optimized geometry",
  "magmom_total_mub_per_atom": 0.26,
  "relative_energy_mev_per_atom": 839,
  "lattice_angstrom": [[0.000, 3.104, 3.104], [3.104, 0.000, 3.104], [3.104, 3.104, 0.000]],
  "species": ["Cu", "As", "Cl"],
  "frac_coords": [[0.000, 0.000, 0.000], [0.750, 0.750, 0.750], [0.250, 0.250, 0.250]]
}


Entry 5:
{
  "formula": "Cu2AsCl6",
  "functional": "PBE",
  "state": "optimized geometry",
  "magmom_total_mub_per_atom": 0.12,
  "relative_energy_mev_per_atom": 41,
  "lattice_angstrom": [[6.784, -5.883, 0.000], [6.784, 5.883, 0.000], [-1.224, 0.000, 6.228]],
  "species": ["Cu", "Cu", "Cu", "Cu", "As", "As", "Cl", "Cl", "Cl", "Cl", "Cl", "Cl", "Cl", "Cl", "Cl", "Cl", "Cl", "Cl"],
  "frac_coords": [[0.000, 0.186, 0.170], [0.000, 0.814, 0.830], [0.186, 0.000, 0.670], [0.814, 0.000, 0.330], [0.418, 0.582, 0.750], [0.582, 0.418, 0.250], [0.036, 0.189, 0.534], [0.156, 0.605, 0.868], [0.189, 0.036, 0.034], [0.324, 0.461, 0.380], [0.395, 0.844, 0.632], [0.461, 0.324, 0.880], [0.539, 0.676, 0.120], [0.605, 0.156, 0.368], [0.676, 0.539, 0.620], [0.811, 0.964, 0.966], [0.844, 0.395, 0.132], [0.964, 0.811, 0.466]]
}


Entry 6:
{
  "formula": "CuAsCl6",
  "functional": "PBE",
  "state": "optimized geometry",
  "magmom_total_mub_per_atom": 0.00,
  "lattice_angstrom": [[6.242, 0.000, 0.000], [-3.120, 5.497, 0.000], [-3.018, -1.873, 5.473]],
  "species": ["Cu", "As", "Cl", "Cl", "Cl", "Cl", "Cl", "Cl"],
  "frac_coords": [[0.000, 0.000, 0.000], [0.000, 0.500, 0.500], [0.124, 0.740, 0.254], [0.131, 0.879, 0.752], [0.490, 0.620, 0.747], [0.510, 0.380, 0.253], [0.869, 0.121, 0.248], [0.876, 0.260, 0.746]]
}


Formation energy from raw total energies per entry: -1.1116 -0.3364 -0.0366 0.5025 -0.5256 -0.3938 eV per atom